A relaxed structure of BaGeNF2, computed with PBE-GGA.

Values from the calculation:
SG: P4/mmm
Fermi-level density of states (states/eV per cell): 0.93
Energy relative to the lowest polymorph listed for this composition (eV/f.u.): 5.50
E_form (uncorrected) (eV/atom): -0.586
VASP energy (eV per atom): -4.308

a b c (Å): 4.858 4.858 4.953
angles (deg): 90.00 90.00 90.00
Atoms (fractional coordinates):
N (0.000, 0.000, 0.500)
Ge (0.500, 0.500, 0.500)
F (0.000, 0.500, 0.000)
Ba (0.000, 0.000, 0.000)
F (0.500, 0.000, 0.000)